Computed, not measured: a geometry-optimized Be2AsW structure at the PBE level of DFT.

Summary:
Crystal system: tetragonal
VASP energy: -5.849 eV/atom

a b c (Å): 2.660 2.660 7.724
angles (deg): 90.00 90.00 90.00
Positions (direct):
Be  0.000  0.000  0.231
Be  0.000  0.000  0.769
As  0.500  0.500  0.500
W  0.500  0.500  0.000